A:
A relaxed structure of TbHo3Co, computed with PBE-GGA.

total magnetization	0.611	Bohr magnetons per cell
N(E_F)	10.41	states/eV per cell

Unit cell a=7.1168 b=7.1168 c=7.0938 alpha=108.78 beta=110.49 gamma=109.27
Closest atoms and distances in Å follow each position.
Element x y z (fractional)
Ho1 0.7055 0.4523 0.1578  1 Co 2.54
Ho2 0.1582 0.9523 0.7055  1 Co 2.54
Ho3 0.2469 0.4527 0.2945  1 Co 2.54
Tb1 0.2919 0.9524 0.2443  1 Co 2.55
Ho4 0.8418 0.0477 0.2945  1 Co 2.54
Tb2 0.7081 0.0476 0.7557  1 Co 2.55
Ho5 0.2945 0.5477 0.8422  1 Co 2.54
Co1 0.3718 0.2505 0.6223  3 Ho 2.54, 1 Tb 2.55
Ho6 0.7531 0.5473 0.7055  1 Co 2.54
Co2 0.6282 0.7495 0.3777  3 Ho 2.54, 1 Tb 2.55

***

B:
A relaxed structure of TbHo3Co, computed with PBE-GGA.

total magnetization	0.000	Bohr magnetons per cell
N(E_F)	24.98	states/eV per cell

Unit cell a=7.2537 b=7.7407 c=9.9494 alpha=107.37 beta=90.00 gamma=90.00
Closest atoms and distances in Å follow each position.
Element x y z (fractional)
Ho1 0.8724 0.9171 0.6082  3 Co 2.78-2.84
Ho2 0.4923 0.7906 0.3832  2 Co 2.68-2.81
Co1 0.2464 0.9540 0.1072  6 Ho 2.68-2.84
Co2 0.7536 0.0460 0.8928  6 Ho 2.68-2.84
Co3 0.7464 0.0460 0.3928  6 Ho 2.68-2.84
Co4 0.2536 0.9540 0.6072  6 Ho 2.68-2.84
Ho3 0.2966 0.5846 0.0327  1 Co 2.76
Ho4 0.6276 0.9171 0.1082  3 Co 2.78-2.84
Ho5 0.5077 0.2094 0.6168  2 Co 2.68-2.81
Ho6 0.7034 0.4154 0.9673  1 Co 2.76
Ho7 0.1276 0.0829 0.3918  3 Co 2.78-2.84
Ho8 0.0077 0.7906 0.8832  2 Co 2.68-2.81
Tb1 0.0554 0.3135 0.7439  1 Co 3.07, 2 Ho 3.24-3.32
Ho9 0.7966 0.4154 0.4673  1 Co 2.76
Ho10 0.3724 0.0829 0.8918  3 Co 2.78-2.84
Ho11 0.2034 0.5846 0.5327  1 Co 2.76
Tb2 0.9446 0.6865 0.2561  1 Co 3.07, 2 Ho 3.24-3.32
Tb3 0.5554 0.6865 0.7561  1 Co 3.07, 2 Ho 3.24-3.32
Tb4 0.4446 0.3135 0.2439  1 Co 3.07, 2 Ho 3.24-3.32
Ho12 0.9923 0.2094 0.1168  2 Co 2.68-2.81

***

Of them, B has the lowest stability.

***

A:
A relaxed structure of TbHo2Co2, computed with PBE-GGA.

total magnetization	0.321	Bohr magnetons per cell
N(E_F)	5.66	states/eV per cell

Unit cell a=3.8901 b=3.8939 c=7.5521 alpha=104.94 beta=90.00 gamma=90.00
Closest atoms and distances in Å follow each position.
Element x y z (fractional)
Co1 0.0000 0.2021 0.4042  2 Co 2.40
Ho1 0.5000 0.6518 0.3036  6 Co 2.85-2.89
Ho2 0.5000 0.3482 0.6964  6 Co 2.85-2.89
Co2 0.0000 0.7979 0.5958  2 Co 2.40
Tb1 0.0000 0.0000 0.0000  2 Co 2.95

***

B:
A relaxed structure of TbHo2Co2, computed with PBE-GGA.

total magnetization	0.000	Bohr magnetons per cell
N(E_F)	3.95	states/eV per cell

Unit cell a=3.7203 b=5.4830 c=5.9189 alpha=103.04 beta=108.32 gamma=90.00
Closest atoms and distances in Å follow each position.
Element x y z (fractional)
Co1 0.2826 0.8957 0.5652  2 Co 2.39
Co2 0.7174 0.1043 0.4348  2 Co 2.39
Tb1 0.0000 0.0000 0.0000  6 Co 3.02-3.36
Ho1 0.3513 0.4178 0.7027  4 Co 2.73-2.90
Ho2 0.6487 0.5822 0.2973  4 Co 2.73-2.90

***

Of them, B has the lowest stability.

***

A:
A relaxed structure of HoCoTc, computed with PBE-GGA.

total magnetization	0.000	Bohr magnetons per cell
N(E_F)	11.25	states/eV per cell

Unit cell a=6.6925 b=6.6925 c=5.5729 alpha=90.00 beta=90.00 gamma=90.00
Closest atoms and distances in Å follow each position.
Element x y z (fractional)
Co1 0.3243 0.3243 0.0000  3 Tc 2.27-2.31
Ho1 0.7694 0.7694 0.0000  4 Co 2.92-3.08, 5 Tc 2.98-3.11
Ho2 0.7306 0.2694 0.2500  4 Co 2.92-3.08, 5 Tc 2.98-3.11
Tc1 0.5840 0.4160 0.7500  3 Co 2.27-2.31
Ho3 0.2306 0.2306 0.5000  4 Co 2.92-3.08, 5 Tc 2.98-3.11
Tc2 0.9160 0.9160 0.5000  3 Co 2.27-2.31
Co2 0.1757 0.8243 0.2500  3 Tc 2.27-2.31
Co3 0.8243 0.1757 0.7500  3 Tc 2.27-2.31
Ho4 0.2694 0.7306 0.7500  4 Co 2.92-3.08, 5 Tc 2.98-3.11
Tc3 0.0840 0.0840 0.0000  3 Co 2.27-2.31
Co4 0.6757 0.6757 0.5000  3 Tc 2.27-2.31
Tc4 0.4160 0.5840 0.2500  3 Co 2.27-2.31

***

B:
A relaxed structure of HoCoTc, computed with PBE-GGA.

total magnetization	2.015	Bohr magnetons per cell
N(E_F)	5.67	states/eV per cell

Unit cell a=4.9707 b=5.2700 c=5.2700 alpha=61.45 beta=61.86 gamma=61.86
Closest atoms and distances in Å follow each position.
Element x y z (fractional)
Ho1 0.8794 0.3706 0.3706  6 Co 2.97-3.17, 6 Tc 3.07-3.12, 4 Ho 3.17-3.25
Co1 0.5000 0.5000 0.0000  4 Tc 2.63, 2 Co 2.69
Co2 0.5000 0.0000 0.5000  4 Tc 2.63, 2 Co 2.69
Ho2 0.1206 0.6294 0.6294  6 Co 2.97-3.17, 6 Tc 3.07-3.12, 4 Ho 3.17-3.25
Tc1 0.5000 0.0000 0.0000  2 Tc 2.49, 4 Co 2.63
Tc2 0.0000 0.0000 0.0000  2 Tc 2.49, 4 Co 2.63

***

Of them, A has the lowest stability.

***

A:
A relaxed structure of Ho7Co2Te2, computed with PBE-GGA.

total magnetization	0.000	Bohr magnetons per cell
N(E_F)	9.39	states/eV per cell

Unit cell a=3.8247 b=9.3367 c=9.3367 alpha=60.91 beta=78.18 gamma=78.18
Closest atoms and distances in Å follow each position.
Element x y z (fractional)
Ho1 0.3659 0.7395 0.5287  2 Co 2.78
Co1 0.2628 0.3311 0.1433  6 Ho 2.76-2.80
Ho2 0.8148 0.0866 0.2837  2 Co 2.76
Ho3 0.5000 0.0254 0.9746  3 Te 3.16-3.17
Ho4 0.8511 0.4028 0.8951  2 Co 2.80
Ho5 0.1489 0.1049 0.5972  2 Co 2.80
Co2 0.7372 0.8567 0.6689  6 Ho 2.76-2.80
Ho6 0.6341 0.4713 0.2605  2 Co 2.78
Te1 0.5000 0.3604 0.6396  7 Ho 3.13-3.18
Ho7 0.1852 0.7163 0.9134  2 Co 2.76
Te2 0.0000 0.7590 0.2410  8 Ho 3.16-3.19

***

B:
A relaxed structure of Ho7Co2Te2, computed with PBE-GGA.

total magnetization	0.000	Bohr magnetons per cell
N(E_F)	10.35	states/eV per cell

Unit cell a=7.0226 b=6.6987 c=6.6987 alpha=77.13 beta=90.00 gamma=90.00
Closest atoms and distances in Å follow each position.
Element x y z (fractional)
Ho1 0.2356 0.4999 0.0001  2 Co 2.68
Ho2 0.7644 0.5001 0.9999  2 Co 2.68
Co1 0.9999 0.2798 0.2798  7 Ho 2.68-2.93
Ho3 0.2239 0.5001 0.5001  2 Co 2.79, 2 Te 3.10
Te1 0.5000 0.2100 0.7900  6 Ho 3.10-3.23
Co2 0.0001 0.7202 0.7202  7 Ho 2.68-2.93
Ho4 0.2356 0.0001 0.4999  2 Co 2.68
Te2 0.5000 0.7900 0.2100  6 Ho 3.10-3.23
Ho5 0.0000 0.0000 0.0000  2 Co 2.93
Ho6 0.7761 0.4999 0.4999  2 Co 2.79, 2 Te 3.10
Ho7 0.7644 0.9999 0.5001  2 Co 2.68

***

Of them, B has the lowest stability.

***

A:
A relaxed structure of HoThCo2, computed with PBE-GGA.

total magnetization	0.000	Bohr magnetons per cell
N(E_F)	2.89	states/eV per cell

Unit cell a=3.7702 b=3.9409 c=5.6512 alpha=90.00 beta=109.44 gamma=90.00
Closest atoms and distances in Å follow each position.
Element x y z (fractional)
Co1 0.1629 0.5000 0.8647  2 Co 2.58, 4 Th 2.79
Co2 0.0067 0.0000 0.5520  2 Co 2.58, 4 Ho 2.81
Th1 0.7188 0.0000 0.9772  7 Co 2.79-3.06
Ho1 0.4426 0.5000 0.4241  7 Co 2.81-3.01

***

B:
A relaxed structure of HoThCo2, computed with PBE-GGA.

total magnetization	0.000	Bohr magnetons per cell
N(E_F)	2.73	states/eV per cell

Unit cell a=3.4021 b=4.7841 c=4.7841 alpha=90.00 beta=90.00 gamma=90.00
Closest atoms and distances in Å follow each position.
Element x y z (fractional)
Th1 0.5000 0.0000 0.0000  8 Co 2.94
Ho1 0.5000 0.5000 0.5000  8 Co 2.94
Co1 0.0000 0.5000 0.0000  4 Th 2.94, 4 Ho 2.94
Co2 0.0000 0.0000 0.5000  4 Th 2.94, 4 Ho 2.94

***

C:
A relaxed structure of HoThCo2, computed with PBE-GGA.

total magnetization	0.001	Bohr magnetons per cell
N(E_F)	3.35	states/eV per cell

Unit cell a=4.7983 b=4.7983 c=4.7983 alpha=60.00 beta=60.00 gamma=60.00
Closest atoms and distances in Å follow each position.
Element x y z (fractional)
Co1 0.7500 0.7500 0.7500  4 Th 2.94, 4 Ho 2.94
Co2 0.2500 0.2500 0.2500  4 Ho 2.94, 4 Th 2.94
Ho1 0.0000 0.0000 0.0000  8 Co 2.94
Th1 0.5000 0.5000 0.5000  8 Co 2.94

***

Of them, C has the lowest stability.